Material: Cs12Rb5F3
Method: DFT, PBE
State: optimized geometry

Lattice parameters (Å, degrees): 22.362 22.362 22.362 109.47 109.47 109.47
Positions (direct):
Cs  0.007  0.130  0.363
Cs  0.007  0.377  0.644
Cs  0.123  0.130  0.267
Cs  0.123  0.493  0.856
Cs  0.130  0.267  0.123
Cs  0.130  0.363  0.007
Cs  0.137  0.267  0.644
Cs  0.137  0.370  0.493
Cs  0.144  0.767  0.637
Cs  0.144  0.877  0.507
Cs  0.233  0.363  0.856
Cs  0.233  0.370  0.377
Cs  0.267  0.123  0.130
Cs  0.267  0.644  0.137
Cs  0.356  0.863  0.733
Cs  0.356  0.993  0.623
Cs  0.363  0.007  0.130
Cs  0.363  0.856  0.233
Cs  0.370  0.377  0.233
Cs  0.370  0.493  0.137
Cs  0.377  0.233  0.370
Cs  0.377  0.644  0.007
Cs  0.493  0.137  0.370
Cs  0.493  0.856  0.123
Cs  0.507  0.144  0.877
Cs  0.507  0.863  0.630
Cs  0.623  0.356  0.993
Cs  0.623  0.767  0.630
Cs  0.630  0.507  0.863
Cs  0.630  0.623  0.767
Cs  0.637  0.144  0.767
Cs  0.637  0.993  0.870
Cs  0.644  0.007  0.377
Cs  0.644  0.137  0.267
Cs  0.733  0.356  0.863
Cs  0.733  0.877  0.870
Cs  0.767  0.630  0.623
Cs  0.767  0.637  0.144
Cs  0.856  0.123  0.493
Cs  0.856  0.233  0.363
Cs  0.863  0.630  0.507
Cs  0.863  0.733  0.356
Cs  0.870  0.637  0.993
Cs  0.870  0.733  0.877
Cs  0.877  0.507  0.144
Cs  0.877  0.870  0.733
Cs  0.993  0.623  0.356
Cs  0.993  0.870  0.637
Rb  0.000  0.000  0.000
Rb  0.000  0.000  0.500
Rb  0.000  0.500  0.000
Rb  0.000  0.500  0.500
Rb  0.125  0.750  0.875
Rb  0.125  0.875  0.250
Rb  0.250  0.125  0.875
Rb  0.250  0.625  0.375
Rb  0.375  0.250  0.625
Rb  0.375  0.625  0.750
Rb  0.500  0.000  0.000
Rb  0.500  0.000  0.500
Rb  0.500  0.500  0.000
Rb  0.500  0.500  0.500
Rb  0.625  0.375  0.250
Rb  0.625  0.750  0.375
Rb  0.750  0.375  0.625
Rb  0.750  0.875  0.125
Rb  0.875  0.125  0.750
Rb  0.875  0.250  0.125
F  0.125  0.250  0.375
F  0.125  0.375  0.750
F  0.250  0.375  0.125
F  0.250  0.875  0.625
F  0.375  0.125  0.250
F  0.375  0.750  0.125
F  0.625  0.250  0.875
F  0.625  0.875  0.750
F  0.750  0.125  0.375
F  0.750  0.625  0.875
F  0.875  0.625  0.250
F  0.875  0.750  0.625

Properties
uncorrected formation energy = -0.614 eV per atom

=====

Material: MnGa
Method: DFT, PBE
State: optimized geometry

Lattice parameters (Å, degrees): 3.536 3.536 3.536 60.00 60.00 60.00
Positions (direct):
Mn  0.000  0.000  0.000
Ga  0.500  0.500  0.500

Properties
energy of formation = 0.2748 eV per atom

=====

Material: Cr3CuTe
Method: DFT, PBE
State: optimized geometry

Lattice parameters (Å, degrees): 4.710 4.710 4.710 90.00 90.00 90.00
Positions (direct):
Cr  0.000  0.000  0.500
Cr  0.000  0.500  0.000
Cr  0.500  0.000  0.000
Cu  0.000  0.000  0.000
Te  0.500  0.500  0.500

Properties
energy relative to the lowest polymorph listed for this composition = 0.000 eV per atom
uncorrected formation energy = 1.014 eV per atom

=====

Material: Ca3Ir3N5
Method: DFT, PBE
State: optimized geometry

Lattice parameters (Å, degrees): 6.667 6.716 8.201 73.88 72.02 76.48
Positions (direct):
Ca  0.063  0.154  0.289
Ca  0.142  0.328  0.652
Ca  0.435  0.860  0.889
Ca  0.565  0.140  0.111
Ca  0.858  0.672  0.348
Ca  0.937  0.846  0.711
Ir  0.215  0.501  0.956
Ir  0.394  0.853  0.529
Ir  0.400  0.665  0.263
Ir  0.600  0.335  0.737
Ir  0.606  0.147  0.471
Ir  0.785  0.499  0.044
N  0.161  0.778  0.434
N  0.216  0.612  0.139
N  0.322  0.214  0.904
N  0.341  0.156  0.398
N  0.348  0.563  0.694
N  0.652  0.437  0.306
N  0.659  0.844  0.602
N  0.678  0.786  0.096
N  0.784  0.388  0.861
N  0.839  0.222  0.566

Properties
uncorrected formation energy = -0.179 eV per atom